The following is a PBE calculation of a relaxed Zr3ScV crystal, from the Alexandria database.

The size of the total moment is 3.17 μB/f.u. The formation energy is 1.349 eV/atom.

It has space group Pm-3m (No. 221), with a = 4.987 Å, b = 4.987 Å, c = 4.987 Å, α = 90.00°, β = 90.00° and γ = 90.00°. The inequivalent atoms are Zr at (0.000, 0.000, 0.500), Sc at (0.000, 0.000, 0.000) and V at (0.500, 0.500, 0.500).



The following is a PBE calculation of a relaxed Sr2ScAl crystal, from the Alexandria database.

The size of the total moment is 0.00 μB/f.u. The formation energy is 0.184 eV/atom.

It has space group I-4m2 (No. 119), with a = 5.609 Å, b = 5.609 Å, c = 7.874 Å, α = 90.00°, β = 90.00° and γ = 90.00°. The inequivalent atoms are Sr at (0.000, 0.000, 0.000), Sr at (0.000, 0.500, 0.250), Sc at (0.000, 0.500, 0.750) and Al at (0.000, 0.000, 0.500).



The following is a PBE calculation of a relaxed K2TlGaSe4 crystal, from the Alexandria database.

Its formation energy without anion corrections is -0.79 eV per atom. The size of the total moment is 0.00 μB/f.u.

It has space group I-4 (No. 82), with a = 7.533 Å, b = 7.533 Å, c = 9.303 Å, α = 90.00°, β = 90.00° and γ = 90.00°. The inequivalent atoms are K at (0.000, 0.000, 0.000), K at (0.000, 0.500, 0.250), Tl at (0.000, 0.500, 0.750), Ga at (0.000, 0.000, 0.500) and Se at (0.173, 0.231, 0.618).



| no. | final energy (eV/atom) |
| --- | --- |
| 1 | -6.8703 |
| 2 | -3.1750 |
| 3 | -3.4759 |